Version i
CaSiCl3 | GGA-PBE | optimized geometry

Computed properties:
The space-group type is Pm-3m.

Cell: 5.116 5.116 5.116 Å, 90.00 90.00 90.00°
Fractional coordinates of all 5 atoms:
Ca1 0.000 0.000 0.000
Si1 0.500 0.500 0.500
Cl1 0.000 0.500 0.500
Cl2 0.500 0.000 0.500
Cl3 0.500 0.500 0.000

***

Version ii
CaSiCl3 | GGA-PBE | optimized geometry

Computed properties:
The space-group type is Pm-3m.

Cell: 5.306 5.306 5.306 Å, 90.00 90.00 90.00°
Fractional coordinates of all 5 atoms:
Ca1 0.000 0.000 0.000
Si1 0.500 0.500 0.500
Cl1 0.000 0.000 0.500
Cl2 0.000 0.500 0.000
Cl3 0.500 0.000 0.000

***

Relative calculated energies, zero for the most stable structure, unit eV/atom: version i 0.141; version ii 0.000.

***

Version i
CaSiCl2 | GGA-PBE | optimized geometry

Computed properties:
The space-group type is Pm.

Cell: 3.765 5.515 5.226 Å, 90.00 111.01 90.00°
Fractional coordinates of all 4 atoms:
Ca1 0.000 0.000 0.000
Si1 0.559 0.500 0.116
Cl1 0.289 0.000 0.576
Cl2 0.897 0.500 0.792

***

Version ii
CaSiCl2 | GGA-PBE | optimized geometry

Computed properties:
The space-group type is R-3m.

Cell: 3.718 3.718 34.366 Å, 90.00 90.00 120.00°
Fractional coordinates of all 12 atoms:
Ca1 0.000 0.000 0.000
Ca2 0.333 0.667 0.667
Ca3 0.667 0.333 0.333
Si1 0.000 0.000 0.500
Si2 0.333 0.667 0.167
Si3 0.667 0.333 0.833
Cl1 0.000 0.000 0.380
Cl2 0.000 0.000 0.620
Cl3 0.333 0.667 0.047
Cl4 0.333 0.667 0.287
Cl5 0.667 0.333 0.713
Cl6 0.667 0.333 0.953

***

Version iii
CaSiCl2 | GGA-PBE | optimized geometry

Computed properties:
The space-group type is I-42d.

Cell: 7.718 7.718 6.604 Å, 90.00 90.00 90.00°
Fractional coordinates of all 16 atoms:
Ca1 0.000 0.000 0.000
Ca2 0.000 0.500 0.250
Ca3 0.500 0.000 0.750
Ca4 0.500 0.500 0.500
Si1 0.000 0.000 0.500
Si2 0.000 0.500 0.750
Si3 0.500 0.000 0.250
Si4 0.500 0.500 0.000
Cl1 0.242 0.250 0.125
Cl2 0.250 0.742 0.375
Cl3 0.250 0.758 0.875
Cl4 0.258 0.250 0.625
Cl5 0.742 0.750 0.625
Cl6 0.750 0.242 0.875
Cl7 0.750 0.258 0.375
Cl8 0.758 0.750 0.125

***

Version iv
CaSiCl2 | GGA-PBE | optimized geometry

Computed properties:
The space-group type is P4/mmm.

Cell: 4.652 4.652 4.043 Å, 90.00 90.00 90.00°
Fractional coordinates of all 4 atoms:
Ca1 0.000 0.000 0.000
Si1 0.500 0.500 0.000
Cl1 0.000 0.500 0.500
Cl2 0.500 0.000 0.500

***

Relative calculated energies, zero for the most stable structure, unit eV/atom: version i 0.072; version ii 0.000; version iii 0.199; version iv 0.281.

***

Version i
CaSiCl2 | GGA-PBE | optimized geometry

Computed properties:
The space-group type is P2/m.

Cell: 4.308 3.535 5.932 Å, 90.00 90.10 90.00°
Fractional coordinates of all 4 atoms:
Ca1 0.000 0.000 0.000
Si1 0.000 0.500 0.500
Cl1 0.500 0.000 0.500
Cl2 0.500 0.500 0.000

***

Version ii
CaSiCl2 | GGA-PBE | optimized geometry

Computed properties:
The space-group type is C2/m.

Cell: 9.832 3.672 5.529 Å, 90.00 98.77 90.00°
Fractional coordinates of all 8 atoms:
Ca1 0.000 0.000 0.000
Ca2 0.500 0.500 0.000
Si1 0.000 0.500 0.500
Si2 0.500 0.000 0.500
Cl1 0.186 0.500 0.227
Cl2 0.314 0.000 0.773
Cl3 0.686 0.000 0.227
Cl4 0.814 0.500 0.773

***

Relative calculated energies, zero for the most stable structure, unit eV/atom: version i 0.064; version ii 0.000.

***

Version i
CaSiCl2 | GGA-PBE | optimized geometry

Computed properties:
The space-group type is R3m.

Cell: 3.736 3.736 27.760 Å, 90.00 90.00 120.00°
Fractional coordinates of all 12 atoms:
Ca1 0.000 0.000 0.000
Ca2 0.333 0.667 0.667
Ca3 0.667 0.333 0.333
Si1 0.000 0.000 0.248
Si2 0.333 0.667 0.915
Si3 0.667 0.333 0.581
Cl1 0.000 0.000 0.525
Cl2 0.000 0.000 0.725
Cl3 0.333 0.667 0.191
Cl4 0.333 0.667 0.391
Cl5 0.667 0.333 0.058
Cl6 0.667 0.333 0.858

***

Version ii
CaSiCl2 | GGA-PBE | optimized geometry

Computed properties:
The space-group type is Cmm2.

Cell: 4.326 5.800 8.590 Å, 90.00 90.00 90.00°
Fractional coordinates of all 8 atoms:
Ca1 0.000 0.000 0.000
Ca2 0.500 0.500 0.000
Si1 0.000 0.500 0.749
Si2 0.500 0.000 0.749
Cl1 0.000 0.000 0.607
Cl2 0.000 0.500 0.180
Cl3 0.500 0.000 0.180
Cl4 0.500 0.500 0.607

***

Version iii
CaSiCl2 | GGA-PBE | optimized geometry

Computed properties:
The space-group type is Cm.

Cell: 12.730 3.526 4.369 Å, 90.00 110.04 90.00°
Fractional coordinates of all 8 atoms:
Ca1 0.000 0.000 0.000
Ca2 0.500 0.500 0.000
Si1 0.262 0.500 0.260
Si2 0.762 0.000 0.260
Cl1 0.042 0.500 0.542
Cl2 0.313 0.000 0.811
Cl3 0.542 0.000 0.542
Cl4 0.813 0.500 0.811

***

Relative calculated energies, zero for the most stable structure, unit eV/atom: version i 0.113; version ii 0.078; version iii 0.000.

***

Version i
CaSiCl2 | GGA-PBE | optimized geometry

Computed properties:
The space-group type is R-3m.

Cell: 3.701 3.701 36.049 Å, 90.00 90.00 120.00°
Fractional coordinates of all 12 atoms:
Ca1 0.000 0.000 0.000
Ca2 0.333 0.667 0.667
Ca3 0.667 0.333 0.333
Si1 0.000 0.000 0.500
Si2 0.333 0.667 0.167
Si3 0.667 0.333 0.833
Cl1 0.000 0.000 0.289
Cl2 0.000 0.000 0.711
Cl3 0.333 0.667 0.378
Cl4 0.333 0.667 0.955
Cl5 0.667 0.333 0.045
Cl6 0.667 0.333 0.622

***

Version ii
CaSiCl2 | GGA-PBE | optimized geometry

Computed properties:
The space-group type is F-43m.

Cell: 7.261 7.261 7.261 Å, 90.00 90.00 90.00°
Fractional coordinates of all 16 atoms:
Ca1 0.000 0.000 0.000
Ca2 0.000 0.500 0.500
Ca3 0.500 0.000 0.500
Ca4 0.500 0.500 0.000
Si1 0.250 0.250 0.750
Si2 0.250 0.750 0.250
Si3 0.750 0.250 0.250
Si4 0.750 0.750 0.750
Cl1 0.000 0.000 0.500
Cl2 0.000 0.500 0.000
Cl3 0.250 0.250 0.250
Cl4 0.250 0.750 0.750
Cl5 0.500 0.000 0.000
Cl6 0.500 0.500 0.500
Cl7 0.750 0.250 0.750
Cl8 0.750 0.750 0.250

***

Version iii
CaSiCl2 | GGA-PBE | optimized geometry

Computed properties:
The space-group type is Immm.

Cell: 4.062 4.644 12.203 Å, 90.00 90.00 90.00°
Fractional coordinates of all 8 atoms:
Ca1 0.000 0.000 0.000
Ca2 0.500 0.500 0.500
Si1 0.000 0.000 0.500
Si2 0.500 0.500 0.000
Cl1 0.000 0.500 0.143
Cl2 0.000 0.500 0.857
Cl3 0.500 0.000 0.357
Cl4 0.500 0.000 0.643

***

Relative calculated energies, zero for the most stable structure, unit eV/atom: version i 0.000; version ii 0.596; version iii 0.030.

***

Version i
CaSiCl2 | GGA-PBE | optimized geometry

Computed properties:
The space-group type is P4mm.

Cell: 3.860 3.860 6.606 Å, 90.00 90.00 90.00°
Fractional coordinates of all 4 atoms:
Ca1 0.000 0.000 0.000
Si1 0.500 0.500 0.708
Cl1 0.000 0.000 0.402
Cl2 0.500 0.500 0.094

***

Version ii
CaSiCl2 | GGA-PBE | optimized geometry

Computed properties:
The space-group type is Fm-3m.

Cell: 7.108 7.108 7.108 Å, 90.00 90.00 90.00°
Fractional coordinates of all 16 atoms:
Ca1 0.000 0.000 0.000
Ca2 0.000 0.500 0.500
Ca3 0.500 0.000 0.500
Ca4 0.500 0.500 0.000
Si1 0.000 0.000 0.500
Si2 0.000 0.500 0.000
Si3 0.500 0.000 0.000
Si4 0.500 0.500 0.500
Cl1 0.250 0.250 0.250
Cl2 0.250 0.250 0.750
Cl3 0.250 0.750 0.250
Cl4 0.250 0.750 0.750
Cl5 0.750 0.250 0.250
Cl6 0.750 0.250 0.750
Cl7 0.750 0.750 0.250
Cl8 0.750 0.750 0.750

***

Relative calculated energies, zero for the most stable structure, unit eV/atom: version i 0.000; version ii 0.153.